Entry from Alexandria: crystalline CeErAsS at its relaxed geometry (PBE).

Properties
* formation energy without anion corrections: -1.6321 eV per atom

a = 3.9667 Å, b = 3.9667 Å, c = 21.3287 Å
α = 90.00°, β = 90.00°, γ = 120.00°
Space group R3m (No. 160, hexagonal axes)
Asymmetric unit:
1 Ce 0.0000 0.0000 0.0000 x3
2 Er 0.0000 0.0000 0.1714 x3
3 As 0.0000 0.0000 0.5807 x3
4 S 0.0000 0.0000 0.7589 x3


Entry from Alexandria: crystalline HfTiOs2 at its relaxed geometry (PBE).

Properties
* E_form: -0.68 eV per atom

a = 3.173 Å, b = 3.173 Å, c = 6.357 Å
α = 90.00°, β = 90.00°, γ = 90.00°
Space group P4/mmm (No. 123)
Asymmetric unit:
1 Hf 0.000 0.000 0.000 x1
2 Ti 0.000 0.000 0.500 x1
3 Os 0.500 0.500 0.262 x2


Entry from Alexandria: crystalline Sr2NiHRh at its relaxed geometry (PBE).

Properties
* calculated total energy: -4.08 eV per atom

a = 5.270 Å, b = 5.270 Å, c = 3.483 Å
α = 90.00°, β = 90.00°, γ = 90.00°
Space group P4/mmm (No. 123)
Asymmetric unit:
1 Sr 0.000 0.500 0.000 x2
2 Ni 0.000 0.000 0.500 x1
3 H 0.000 0.000 0.000 x1
4 Rh 0.500 0.500 0.500 x1


Entry from Alexandria: crystalline VCo5Ni4 at its relaxed geometry (PBE).

Properties
* E_form: 0.21 eV per atom

a = 3.987 Å, b = 7.559 Å, c = 7.912 Å
α = 90.00°, β = 90.00°, γ = 90.00°
Space group Immm (No. 71)
Asymmetric unit:
1 V 0.000 0.000 0.000 x2
2 Co 0.000 0.274 0.181 x8
3 Co 0.000 0.500 0.000 x2
4 Ni 0.000 0.000 0.331 x4
5 Ni 0.000 0.292 0.500 x4


Entry from Alexandria: crystalline Tl2TeF2 at its relaxed geometry (PBE).

Properties
* formation energy without anion corrections: -1.2189 eV per atom

a = 5.794 Å, b = 5.794 Å, c = 8.521 Å
α = 90.00°, β = 90.00°, γ = 90.00°
Space group I4/mmm (No. 139)
Asymmetric unit:
1 Tl 0.000 0.500 0.250 x4
2 Te 0.000 0.000 0.000 x2
3 F 0.000 0.000 0.261 x4


Entry from Alexandria: crystalline Ti2HS at its relaxed geometry (PBE).

Properties
* calculated total energy: -6.27 eV per atom

a = 5.776 Å, b = 5.776 Å, c = 5.776 Å
α = 90.00°, β = 90.00°, γ = 90.00°
Space group Fm-3m (No. 225)
Asymmetric unit:
1 Ti 0.250 0.250 0.250 x8
2 H 0.000 0.000 0.000 x4
3 S 0.000 0.000 0.500 x4


Entry from Alexandria: crystalline Pm3SiP2Pt9 at its relaxed geometry (PBE).

Properties
* formation energy without anion corrections: -0.7821 eV per atom

a = 6.4555 Å, b = 6.4555 Å, c = 8.2663 Å
α = 90.00°, β = 90.00°, γ = 120.00°
Space group P-3m1 (No. 164)
Asymmetric unit:
1 Pm 0.0000 0.0000 0.0000 x1
2 Pm 0.3333 0.6667 0.6595 x2
3 Si 0.0000 0.0000 0.5000 x1
4 P 0.3333 0.6667 0.1877 x2
5 Pt 0.0000 0.5000 0.0000 x3
6 Pt 0.1467 0.2933 0.2903 x6


Entry from Alexandria: crystalline NiMo2Rh at its relaxed geometry (PBE).

Properties
* E_form: 0.31 eV per atom

a = 6.144 Å, b = 6.144 Å, c = 6.144 Å
α = 90.00°, β = 90.00°, γ = 90.00°
Space group Fm-3m (No. 225)
Asymmetric unit:
1 Ni 0.000 0.000 0.000 x4
2 Mo 0.250 0.250 0.250 x8
3 Rh 0.000 0.000 0.500 x4